(1)
Crystalline Ga2FeHgTe at its relaxed geometry, computed with PBE.

Geometry as POSCAR:
```
Ga2FeHgTe
1.0
5.5803 0.0000 0.0000
0.0000 5.5803 0.0000
0.0000 0.0000 4.7189
Ga Fe Hg Te
2 1 1 1
direct
0.0000 0.5000 0.0000 Ga
0.5000 0.0000 0.0000 Ga
0.0000 0.0000 0.5000 Fe
0.5000 0.5000 0.5000 Hg
0.0000 0.0000 0.0000 Te
```

Values from the calculation:
Raw formation energy ... 358 kJ/mol of formula units

(2)
Crystalline TbLu3Ir at its relaxed geometry, computed with PBE.

Geometry as POSCAR:
```
TbLu3Ir
1.0
5.3215 0.0000 0.0000
0.0000 5.3215 0.0000
0.0000 0.0000 5.3215
Tb Lu Ir
1 3 1
direct
0.0000 0.0000 0.0000 Tb
0.0000 0.5000 0.5000 Lu
0.5000 0.0000 0.5000 Lu
0.5000 0.5000 0.0000 Lu
0.5000 0.5000 0.5000 Ir
```

(3)
Crystalline Tl2SiPt at its relaxed geometry, computed with PBE.

Geometry as POSCAR:
```
Tl2SiPt
1.0
-1.9690 2.5958 4.2061
1.9690 -2.5958 4.2061
1.9690 2.5958 -4.2061
Tl Si Pt
2 1 1
direct
0.2462 0.2462 0.0000 Tl
0.7538 0.7538 0.0000 Tl
0.5000 0.0000 0.5000 Si
0.0000 0.5000 0.5000 Pt
```

Values from the calculation:
Raw formation energy ... 148 kJ/mol of formula units

(4)
Crystalline Ti5H2Ir2 at its relaxed geometry, computed with PBE.

Geometry as POSCAR:
```
Ti5H2Ir2
1.0
4.8892 -2.1460 0.0000
4.8892 2.1460 0.0000
-0.7567 0.0000 5.4048
Ti H Ir
5 2 2
direct
0.0000 0.0000 0.0000 Ti
0.1396 0.1396 0.5429 Ti
0.3000 0.3000 0.1477 Ti
0.7000 0.7000 0.8523 Ti
0.8604 0.8604 0.4571 Ti
0.1672 0.1672 0.8810 H
0.8328 0.8328 0.1190 H
0.4203 0.4203 0.7205 Ir
0.5797 0.5797 0.2795 Ir
```

(5)
Crystalline CeHoAu3 at its relaxed geometry, computed with PBE.

Geometry as POSCAR:
```
CeHoAu3
1.0
1.8004 -14.1328 0.0000
1.8004 14.1328 0.0000
0.0000 0.0000 4.6415
Ce Ho Au
2 2 6
direct
0.0736 0.9264 0.7500 Ce
0.9264 0.0736 0.2500 Ce
0.2071 0.7929 0.2500 Ho
0.7929 0.2071 0.7500 Ho
0.3145 0.6855 0.2500 Au
0.3766 0.6234 0.7500 Au
0.4740 0.5260 0.7500 Au
0.5260 0.4740 0.2500 Au
0.6234 0.3766 0.2500 Au
0.6855 0.3145 0.7500 Au
```

(6)
Crystalline PuI2Cl4 at its relaxed geometry, computed with PBE.

Geometry as POSCAR:
```
PuI2Cl4
1.0
10.5264 -2.4921 0.0000
10.5264 2.4921 0.0000
-0.0259 0.0000 4.5225
Pu I Cl
1 2 4
direct
0.0000 0.0000 0.0000 Pu
0.2802 0.2802 0.5183 I
0.7198 0.7198 0.4817 I
0.0768 0.0768 0.5018 Cl
0.4280 0.4280 0.9977 Cl
0.5720 0.5720 0.0023 Cl
0.9232 0.9232 0.4982 Cl
```

Values from the calculation:
Raw formation energy ... -703 kJ/mol of formula units

(7)
Crystalline Ba2NaAs at its relaxed geometry, computed with PBE.

Geometry as POSCAR:
```
Ba2NaAs
1.0
4.1887 0.0000 0.0000
0.0000 4.1887 0.0000
0.0000 0.0000 9.1512
Ba Na As
2 1 1
direct
0.0000 0.0000 0.1878 Ba
0.0000 0.0000 0.8122 Ba
0.5000 0.5000 0.5000 Na
0.5000 0.5000 0.0000 As
```

(8)
Crystalline Mg2ReRh at its relaxed geometry, computed with PBE.

Geometry as POSCAR:
```
Mg2ReRh
1.0
1.6121 -2.2358 0.0000
1.6121 2.2358 0.0000
0.0000 0.0000 8.7048
Mg Re Rh
2 1 1
direct
0.0000 0.0000 0.2379 Mg
0.0000 0.0000 0.7621 Mg
0.5000 0.5000 0.5000 Re
0.5000 0.5000 0.0000 Rh
```

Values from the calculation:
Offset from the most stable computed form ... 98.9 meV/atom

(9)
Crystalline HgO4 at its relaxed geometry, computed with PBE.

Geometry as POSCAR:
```
HgO4
1.0
4.2658 0.0000 0.0000
0.0000 4.2658 0.0000
0.0000 0.0000 4.2658
Hg O
1 4
direct
0.0000 0.0000 0.0000 Hg
0.0000 0.0000 0.5000 O
0.0000 0.5000 0.0000 O
0.5000 0.0000 0.0000 O
0.5000 0.5000 0.5000 O
```

Values from the calculation:
Raw formation energy ... 673 kJ/mol of formula units

| no. | M_tot (μB/f.u.) | total DFT energy (no corrections) (eV per formula unit) |
| --- | --- | --- |
| 1 | 2.319 | -14.25 |
| 2 | 0.001 | -28.64 |
| 3 | 0.000 | -14.66 |
| 4 | 0.000 | -68.78 |
| 5 | 0.980 | -24.13 |
| 6 | 4.435 | -32.11 |
| 7 | 0.000 | -12.28 |
| 8 | 0.000 | -22.86 |
| 9 | 4.746 | -13.16 |